# CuMoOsO6 (PBE+U, relaxed)
data_CuMoOsO6
_cell_length_a 4.920
_cell_length_b 4.920
_cell_length_c 9.405
_cell_angle_alpha 90.00
_cell_angle_beta 90.00
_cell_angle_gamma 120.00
_space_group_name_H-M_alt 'P 1'
_space_group_IT_number 1
_space_group_name_Hall 'P 1'
loop_
_atom_site_label
_atom_site_fract_x
_atom_site_fract_y
_atom_site_fract_z
_atom_site_occupancy
Cu1 0.000 0.000 0.000 1
Cu2 0.000 0.000 0.500 1
Mo1 0.333 0.667 0.250 1
Mo2 0.667 0.333 0.750 1
Os1 0.333 0.667 0.750 1
Os2 0.667 0.333 0.250 1
O1 0.001 0.338 0.129 1
O2 0.001 0.663 0.371 1
O3 0.337 0.338 0.371 1
O4 0.337 0.999 0.129 1
O5 0.338 0.001 0.629 1
O6 0.338 0.337 0.871 1
O7 0.662 0.663 0.129 1
O8 0.662 0.999 0.371 1
O9 0.663 0.001 0.871 1
O10 0.663 0.662 0.629 1
O11 0.999 0.337 0.629 1
O12 0.999 0.662 0.871 1
# * size of the total moment: 1.27 μB/cell
# * volume: 197 Å³ per cell
# * raw total energy: -6.80 eV per atom
# * density: 7507 kg/m3